Entry 1:
Computed, not measured: crystalline LaTh2MoN5 at its relaxed geometry at the GGA-PBE level of DFT.

abc: 6.883 6.883 5.935
angles: 90.00 90.00 90.00
Space group P4/mbm (No. 127)
Inequivalent atoms, fractional coordinates:
La (0.000, 0.000, 0.000)
Th (0.171, 0.329, 0.500)
Mo (0.000, 0.500, 0.000)
N (0.000, 0.000, 0.500)
N (0.142, 0.642, 0.236)

Summary:
**ΔE_f (raw)**: -1.130 eV/atom

Entry 2:
Computed, not measured: crystalline HfHg3 at its relaxed geometry at the GGA-PBE level of DFT.

abc: 4.444 4.444 8.861
angles: 90.00 90.00 90.00
Space group I4/mmm (No. 139)
Inequivalent atoms, fractional coordinates:
Hf (0.000, 0.000, 0.000)
Hg (0.000, 0.000, 0.500)
Hg (0.000, 0.500, 0.250)

Summary:
**Formation energy from the elements**: 0.69 eV per formula unit

Entry 3:
Computed, not measured: crystalline Ni3GeP at its relaxed geometry at the GGA-PBE level of DFT.

abc: 4.312 4.312 4.312
angles: 90.00 90.00 90.00
Space group Pm-3m (No. 221)
Inequivalent atoms, fractional coordinates:
Ni (0.000, 0.000, 0.500)
Ge (0.000, 0.000, 0.000)
P (0.500, 0.500, 0.500)

Summary:
**Relative energy among the computed polymorphs**: 1066.7 meV per atom
**Formation energy from the elements**: 3.60 eV per formula unit

Entry 4:
Computed, not measured: crystalline SrLa3O at its relaxed geometry at the GGA-PBE level of DFT.

abc: 5.296 5.296 5.296
angles: 90.00 90.00 90.00
Space group Pm-3m (No. 221)
Inequivalent atoms, fractional coordinates:
Sr (0.000, 0.000, 0.000)
La (0.000, 0.500, 0.500)
O (0.500, 0.500, 0.500)

Summary:
**ΔE_f (raw)**: -0.991 eV/atom
**Relative energy among the computed polymorphs**: 0.0 meV per atom

| no. | density of states at the Fermi level (states/eV/atom) | uncorrected energy (eV per atom) |
| --- | --- | --- |
| 1 | 0.02 | -9.1553 |
| 2 | 0.74 | -2.5414 |
| 3 | 0.51 | -4.7535 |
| 4 | 1.18 | -5.2755 |